Entry 1:
Material: Li2CdCuGe
Method: DFT, PBE
State: relaxed

Cell and atoms, written as CIF:
```
data_Li2CdCuGe
_chemical_formula_sum 'Li2 Cd1 Cu1 Ge1'
_cell_length_a 4.807
_cell_length_b 5.013
_cell_length_c 4.807
_cell_angle_alpha 90.00
_cell_angle_beta 90.00
_cell_angle_gamma 90.00
_symmetry_space_group_name_H-M 'P 1'
_symmetry_Int_Tables_number 1
_symmetry_space_group_name_Hall 'P 1'
loop_
_atom_site_label
_atom_site_type_symbol
_atom_site_fract_x
_atom_site_fract_y
_atom_site_fract_z
Ge1 Ge 0.000 0.000 0.000
Li1 Li 0.000 0.000 0.500
Li2 Li 0.500 0.000 0.000
Cu1 Cu 0.500 0.500 0.500
Cd1 Cd 0.000 0.500 0.000
```

Results
- VASP energy (eV/f.u.) = -11.602
- N(E_F) (states/eV/f.u.) = 1.6

Entry 2:
Material: MgCd2CuGe
Method: DFT, PBE
State: relaxed

Cell and atoms, written as CIF:
```
data_MgCd2CuGe
_chemical_formula_sum 'Mg1 Cd2 Cu1 Ge1'
_cell_length_a 5.301
_cell_length_b 4.551
_cell_length_c 5.301
_cell_angle_alpha 90.00
_cell_angle_beta 90.00
_cell_angle_gamma 90.00
_symmetry_space_group_name_H-M 'P 1'
_symmetry_Int_Tables_number 1
_symmetry_space_group_name_Hall 'P 1'
loop_
_atom_site_label
_atom_site_type_symbol
_atom_site_fract_x
_atom_site_fract_y
_atom_site_fract_z
Ge1 Ge 0.000 0.000 0.000
Mg1 Mg 0.500 0.500 0.500
Cu1 Cu 0.000 0.500 0.000
Cd1 Cd 0.000 0.000 0.500
Cd2 Cd 0.500 0.000 0.000
```

Results
- VASP energy (eV/f.u.) = -10.378
- N(E_F) (states/eV/f.u.) = 2.3

What is the formula in the first record?
Li2CdCuGe